Material: LiAl2GaAg5
Method: DFT, PBE
State: relaxed

Output
crystal system: orthorhombic
ΔH_f (0 K): -0.060 eV/atom

```
data_LiAl2GaAg5
_chemical_formula_sum 'Li4 Al8 Ga4 Ag20'
_space_group_name_H-M_alt 'C m c 21'
_space_group_IT_number 36
_cell_length_a 2.9649
_cell_length_b 16.2942
_cell_length_c 12.7964
_cell_angle_alpha 90.00
_cell_angle_beta 90.00
_cell_angle_gamma 90.00
loop_
_space_group_symop_operation_xyz
'x,y,z'
'-x,-y,z+1/2'
'-x,y,z'
'x,-y,z+1/2'
'x+1/2,y+1/2,z'
'-x+1/2,-y+1/2,z+1/2'
'-x+1/2,y+1/2,z'
'x+1/2,-y+1/2,z+1/2'
loop_
_atom_site_label
_atom_site_fract_x
_atom_site_fract_y
_atom_site_fract_z
Li1 0.0000 0.1156 0.0000
Al1 0.0000 0.3693 0.1782
Al2 0.0000 0.3815 0.8483
Ga1 0.0000 0.2297 0.5128
Ag1 0.0000 0.0325 0.8221
Ag2 0.0000 0.0617 0.5140
Ag3 0.0000 0.1950 0.1821
Ag4 0.0000 0.2113 0.8349
Ag5 0.0000 0.4568 0.6539
```

***

Material: Tb6Pm4Sm
Method: DFT, PBE
State: relaxed

Output
distance to the lowest polymorph of the same formula: 0.00 kJ/mol of atoms
crystal system: tetragonal
ΔH_f (0 K): 0.378 eV/atom

```
data_Tb6Pm4Sm
_chemical_formula_sum 'Tb12 Pm8 Sm2'
_space_group_name_H-M_alt 'I -4 2 m'
_space_group_IT_number 121
_space_group_name_Hall 'I -4 2'
_cell_length_a 7.6196
_cell_length_b 7.6196
_cell_length_c 13.2504
_cell_angle_alpha 90.00
_cell_angle_beta 90.00
_cell_angle_gamma 90.00
loop_
_atom_site_label
_atom_site_fract_x
_atom_site_fract_y
_atom_site_fract_z
Tb1 0.0000 0.5000 0.0000
Tb2 0.1655 0.1655 0.4212
Pm1 0.2333 0.2333 0.1884
Sm1 0.0000 0.0000 0.0000
```

***

Material: CaAs2SeN
Method: DFT, PBE
State: relaxed

Output
distance to the lowest polymorph of the same formula: 0.00 kJ/mol of atoms
crystal system: tetragonal
formation energy (no corrections): 0.19 eV/atom

```
data_CaAs2SeN
_chemical_formula_sum 'Ca1 As2 Se1 N1'
_space_group_name_H-M_alt 'P 4/m m m'
_space_group_IT_number 123
_space_group_name_Hall '-P 4 2'
_cell_length_a 4.4165
_cell_length_b 4.4165
_cell_length_c 4.7844
_cell_angle_alpha 90.00
_cell_angle_beta 90.00
_cell_angle_gamma 90.00
loop_
_atom_site_label
_atom_site_fract_x
_atom_site_fract_y
_atom_site_fract_z
Ca1 0.0000 0.0000 0.0000
As1 0.0000 0.5000 0.5000
Se1 0.5000 0.5000 0.0000
N1 0.5000 0.5000 0.5000
```

***

Material: YAgPb4
Method: DFT, PBE
State: relaxed

Output
crystal system: cubic
ΔH_f (0 K): 0.142 eV/atom

```
data_YAgPb4
_chemical_formula_sum 'Y4 Ag4 Pb16'
_space_group_name_H-M_alt 'F -4 3 m'
_space_group_IT_number 216
_space_group_name_Hall 'F -4 2 3'
_cell_length_a 9.0203
_cell_length_b 9.0203
_cell_length_c 9.0203
_cell_angle_alpha 90.00
_cell_angle_beta 90.00
_cell_angle_gamma 90.00
loop_
_atom_site_label
_atom_site_fract_x
_atom_site_fract_y
_atom_site_fract_z
Y1 0.0000 0.0000 0.0000
Ag1 0.2500 0.2500 0.7500
Pb1 0.1258 0.1258 0.3742
```

***

Material: Nd5US6
Method: DFT, PBE
State: relaxed

Output
crystal system: monoclinic
formation energy (no corrections): -1.90 eV/atom

```
data_Nd5US6
_chemical_formula_sum 'Nd10 U2 S12'
_space_group_name_H-M_alt 'C 1 2/m 1'
_space_group_IT_number 12
_cell_length_a 7.0006
_cell_length_b 12.0901
_cell_length_c 7.0102
_cell_angle_alpha 90.00
_cell_angle_beta 109.54
_cell_angle_gamma 90.00
loop_
_space_group_symop_operation_xyz
'x,y,z'
'-x,-y,-z'
'-x,y,-z'
'x,-y,z'
'x+1/2,y+1/2,z'
'-x+1/2,-y+1/2,-z'
'-x+1/2,y+1/2,-z'
'x+1/2,-y+1/2,z'
loop_
_atom_site_label
_atom_site_fract_x
_atom_site_fract_y
_atom_site_fract_z
Nd1 0.0000 0.0000 0.0000
Nd2 0.0000 0.1675 0.5000
Nd3 0.0000 0.3267 0.0000
U1 0.0000 0.5000 0.5000
S1 0.2416 0.5000 0.2510
S2 0.2428 0.3384 0.7429
```

***

Material: Tb3Nd6SmHo2
Method: DFT, PBE
State: relaxed

Output
crystal system: monoclinic
ΔH_f (0 K): 0.012 eV/atom

```
data_Tb3Nd6SmHo2
_chemical_formula_sum 'Tb6 Nd12 Sm2 Ho4'
_space_group_name_H-M_alt 'C 1 2/m 1'
_space_group_IT_number 12
_cell_length_a 6.2862
_cell_length_b 10.8869
_cell_length_c 11.9180
_cell_angle_alpha 90.00
_cell_angle_beta 100.10
_cell_angle_gamma 90.00
loop_
_space_group_symop_operation_xyz
'x,y,z'
'-x,-y,-z'
'-x,y,-z'
'x,-y,z'
'x+1/2,y+1/2,z'
'-x+1/2,-y+1/2,-z'
'-x+1/2,y+1/2,-z'
'x+1/2,-y+1/2,z'
loop_
_atom_site_label
_atom_site_fract_x
_atom_site_fract_y
_atom_site_fract_z
Tb1 0.0000 0.0000 0.0000
Tb2 0.0000 0.3332 0.0000
Nd1 0.2491 0.1670 0.2499
Nd2 0.2500 0.0000 0.7500
Sm1 0.0000 0.5000 0.5000
Ho1 0.0000 0.1666 0.5000
```

***

Material: BeSi3
Method: DFT, PBE
State: relaxed

Output
distance to the lowest polymorph of the same formula: 9.56 kJ/mol of atoms
crystal system: orthorhombic
formation energy (no corrections): 0.44 eV/atom

```
data_BeSi3
_chemical_formula_sum 'Be2 Si6'
_space_group_name_H-M_alt 'I m m 2'
_space_group_IT_number 44
_cell_length_a 2.6307
_cell_length_b 10.1683
_cell_length_c 4.0323
_cell_angle_alpha 90.00
_cell_angle_beta 90.00
_cell_angle_gamma 90.00
loop_
_space_group_symop_operation_xyz
'x,y,z'
'-x,-y,z'
'-x,y,z'
'x,-y,z'
'x+1/2,y+1/2,z+1/2'
'-x+1/2,-y+1/2,z+1/2'
'-x+1/2,y+1/2,z+1/2'
'x+1/2,-y+1/2,z+1/2'
loop_
_atom_site_label
_atom_site_fract_x
_atom_site_fract_y
_atom_site_fract_z
Be1 0.0000 0.0000 0.0000
Si1 0.0000 0.3047 0.3602
Si2 0.0000 0.5000 0.9760
```

***

Material: YTl
Method: DFT, PBE
State: relaxed

Output
crystal system: cubic
ΔH_f (0 K): 0.619 eV/atom

```
data_YTl
_chemical_formula_sum 'Y4 Tl4'
_space_group_name_H-M_alt 'F -4 3 m'
_space_group_IT_number 216
_space_group_name_Hall 'F -4 2 3'
_cell_length_a 6.9553
_cell_length_b 6.9553
_cell_length_c 6.9553
_cell_angle_alpha 90.00
_cell_angle_beta 90.00
_cell_angle_gamma 90.00
loop_
_atom_site_label
_atom_site_fract_x
_atom_site_fract_y
_atom_site_fract_z
Y1 0.0000 0.0000 0.0000
Tl1 0.2500 0.2500 0.2500
```

***

Material: AlCdSnPb
Method: DFT, PBE
State: relaxed

Output
crystal system: cubic
ΔH_f (0 K): 0.183 eV/atom

```
data_AlCdSnPb
_chemical_formula_sum 'Al4 Cd4 Sn4 Pb4'
_space_group_name_H-M_alt 'F -4 3 m'
_space_group_IT_number 216
_space_group_name_Hall 'F -4 2 3'
_cell_length_a 7.4458
_cell_length_b 7.4458
_cell_length_c 7.4458
_cell_angle_alpha 90.00
_cell_angle_beta 90.00
_cell_angle_gamma 90.00
loop_
_atom_site_label
_atom_site_fract_x
_atom_site_fract_y
_atom_site_fract_z
Al1 0.0000 0.0000 0.0000
Cd1 0.2500 0.2500 0.2500
Sn1 0.2500 0.2500 0.7500
Pb1 0.0000 0.0000 0.5000
```

***

Material: Ce3Dy2Os2
Method: DFT, PBE
State: relaxed

Output
crystal system: monoclinic
ΔH_f (0 K): -0.176 eV/atom

```
data_Ce3Dy2Os2
_chemical_formula_sum 'Ce6 Dy4 Os4'
_space_group_name_H-M_alt 'C 1 2/m 1'
_space_group_IT_number 12
_cell_length_a 11.4876
_cell_length_b 3.9400
_cell_length_c 8.6838
_cell_angle_alpha 90.00
_cell_angle_beta 115.13
_cell_angle_gamma 90.00
loop_
_space_group_symop_operation_xyz
'x,y,z'
'-x,-y,-z'
'-x,y,-z'
'x,-y,z'
'x+1/2,y+1/2,z'
'-x+1/2,-y+1/2,-z'
'-x+1/2,y+1/2,-z'
'x+1/2,-y+1/2,z'
loop_
_atom_site_label
_atom_site_fract_x
_atom_site_fract_y
_atom_site_fract_z
Ce1 0.0000 0.0000 0.0000
Ce2 0.1127 0.0000 0.4318
Dy1 0.1629 0.5000 0.8127
Os1 0.1670 0.5000 0.2365
```

***

Material: CdCoAg2
Method: DFT, PBE
State: relaxed

Output
crystal system: trigonal
ΔH_f (0 K): 0.264 eV/atom

```
data_CdCoAg2
_chemical_formula_sum 'Cd3 Co3 Ag6'
_space_group_name_H-M_alt 'R 3 m'
_space_group_IT_number 160
_space_group_name_Hall 'R 3 -2"'
_cell_length_a 2.8998
_cell_length_b 2.8998
_cell_length_c 27.8896
_cell_angle_alpha 90.00
_cell_angle_beta 90.00
_cell_angle_gamma 120.00
loop_
_atom_site_label
_atom_site_fract_x
_atom_site_fract_y
_atom_site_fract_z
Cd1 0.0000 0.0000 0.0000
Co1 0.0000 0.0000 0.7464
Ag1 0.0000 0.0000 0.2432
Ag2 0.0000 0.0000 0.4898
```

***

Material: Er2PuAl2Ru5
Method: DFT, PBE
State: relaxed

Output
crystal system: tetragonal
ΔH_f (0 K): -0.436 eV/atom

```
data_Er2PuAl2Ru5
_chemical_formula_sum 'Er4 Pu2 Al4 Ru10'
_space_group_name_H-M_alt 'P 4/m b m'
_space_group_IT_number 127
_space_group_name_Hall '-P 4 2ab'
_cell_length_a 10.1319
_cell_length_b 10.1319
_cell_length_c 3.3679
_cell_angle_alpha 90.00
_cell_angle_beta 90.00
_cell_angle_gamma 90.00
loop_
_atom_site_label
_atom_site_fract_x
_atom_site_fract_y
_atom_site_fract_z
Er1 0.1701 0.3299 0.0000
Pu1 0.0000 0.0000 0.0000
Al1 0.1264 0.6264 0.0000
Ru1 0.0000 0.5000 0.5000
Ru2 0.0682 0.7990 0.5000
```

***

Number 1: total DFT energy (no corrections) -3.02 eV/atom, DOS(E_F) 0.25 states/eV/atom, volume 618.21 Å³/cell. Number 2: total DFT energy (no corrections) -4.30 eV/atom, DOS(E_F) 1.28 states/eV/atom, volume 769.29 Å³/cell. Number 3: total DFT energy (no corrections) -4.43 eV/atom, DOS(E_F) 1.10 states/eV/atom, volume 93.32 Å³/cell. Number 4: total DFT energy (no corrections) -3.88 eV/atom, DOS(E_F) 0.60 states/eV/atom, volume 733.95 Å³/cell. Number 5: total DFT energy (no corrections) -6.89 eV/atom, DOS(E_F) 0.97 states/eV/atom, volume 559.15 Å³/cell. Number 6: total DFT energy (no corrections) -4.69 eV/atom, DOS(E_F) 1.21 states/eV/atom, volume 803.00 Å³/cell. Number 7: total DFT energy (no corrections) -4.56 eV/atom, DOS(E_F) 0.31 states/eV/atom, volume 107.87 Å³/cell. Number 8: total DFT energy (no corrections) -3.80 eV/atom, DOS(E_F) 2.30 states/eV/atom, volume 336.47 Å³/cell. Number 9: total DFT energy (no corrections) -2.91 eV/atom, DOS(E_F) 0.40 states/eV/atom, volume 412.80 Å³/cell. Number 10: total DFT energy (no corrections) -7.24 eV/atom, DOS(E_F) 1.83 states/eV/atom, volume 355.83 Å³/cell. Number 11: total DFT energy (no corrections) -3.17 eV/atom, DOS(E_F) 0.84 states/eV/atom, volume 203.09 Å³/cell. Number 12: total DFT energy (no corrections) -8.17 eV/atom, DOS(E_F) 0.90 states/eV/atom, volume 345.73 Å³/cell.